(1)
Entry from Alexandria: a crystal of Mg7Au relaxed with PBEsol (meta-GGA SCAN).

## Properties
**Crystal system**: cubic
**Energy of formation**: -163 meV per atom
**Density**: 3.70 g cm⁻³
**E_tot**: -13.16 eV per atom
**DOS(E_F)**: 12.14 states/eV/cell

Cell: 8.7050 8.7050 8.7050 Å, 90.00 90.00 90.00°
Last column: nearest neighbours and their distance in Å.
Space group Fm-3m (No. 225)
Asymmetric unit:
Mg 0.0000 0.0000 0.0000 (multiplicity 4)  12 Mg 3.08
Mg 0.0000 0.2500 0.2500 (multiplicity 24)  10 Mg 3.08, 2 Au 3.08
Au 0.0000 0.0000 0.5000 (multiplicity 4)  12 Mg 3.08

(2)
Entry from Alexandria: a crystal of MgAu3 relaxed with PBEsol (meta-GGA SCAN).

## Properties
**Crystal system**: cubic
**Energy of formation**: -466 meV per atom
**Density**: 15.15 g cm⁻³
**E_tot**: -53.58 eV per atom
**DOS(E_F)**: 1.11 states/eV/cell

Cell: 4.0700 4.0700 4.0700 Å, 90.00 90.00 90.00°
Last column: nearest neighbours and their distance in Å.
Space group Pm-3m (No. 221)
Asymmetric unit:
Mg 0.0000 0.0000 0.0000 (multiplicity 1)  12 Au 2.88
Au 0.0000 0.5000 0.5000 (multiplicity 3)  4 Mg 2.88, 8 Au 2.88

(3)
Entry from Alexandria: a crystal of MgAu3 relaxed with PBEsol (meta-GGA SCAN).

## Properties
**Crystal system**: tetragonal
**Energy of formation**: -484 meV per atom
**Density**: 15.16 g cm⁻³
**E_tot**: -53.59 eV per atom
**DOS(E_F)**: 3.42 states/eV/cell

Cell: 4.0506 4.0506 16.4285 Å, 90.00 90.00 90.00°
Last column: nearest neighbours and their distance in Å.
Space group I4/mmm (No. 139)
Asymmetric unit:
Mg 0.0000 0.0000 0.1274 (multiplicity 4)  12 Au 2.86-2.91
Au 0.0000 0.0000 0.3770 (multiplicity 4)  8 Au 2.86-2.91, 4 Mg 2.87
Au 0.0000 0.5000 0.0000 (multiplicity 4)  8 Au 2.86, 4 Mg 2.91
Au 0.0000 0.5000 0.2500 (multiplicity 4)  4 Mg 2.86, 8 Au 2.86-2.91

(4)
Entry from Alexandria: a crystal of Mg4Au relaxed with PBEsol (meta-GGA SCAN).

## Properties
**Crystal system**: tetragonal
**Energy of formation**: -361 meV per atom
**Density**: 4.79 g cm⁻³
**E_tot**: -18.17 eV per atom
**DOS(E_F)**: 3.20 states/eV/cell

Cell: 7.8779 7.8779 3.2867 Å, 90.00 90.00 90.00°
Last column: nearest neighbours and their distance in Å.
Space group I4/m (No. 87)
Asymmetric unit:
Mg 0.0785 0.7252 0.0000 (multiplicity 8)  2 Au 2.79
Au 0.0000 0.0000 0.5000 (multiplicity 2)  8 Mg 2.79

(5)
Entry from Alexandria: a crystal of Mg5Au4 relaxed with PBEsol (meta-GGA SCAN).

## Properties
**Crystal system**: hexagonal
**Energy of formation**: -693 meV per atom
**Density**: 9.31 g cm⁻³
**E_tot**: -34.19 eV per atom
**DOS(E_F)**: 5.52 states/eV/cell

Cell: 8.1201 8.1201 5.6789 Å, 90.00 90.00 120.00°
Last column: nearest neighbours and their distance in Å.
Space group P6_3/mcm (No. 193)
Asymmetric unit:
Mg 0.0000 0.2903 0.2500 (multiplicity 6)  7 Au 2.68-2.93
Mg 0.3333 0.6667 0.0000 (multiplicity 4)  2 Mg 2.84, 6 Au 2.91
Au 0.0000 0.0000 0.0000 (multiplicity 2)  6 Mg 2.75, 2 Au 2.84
Au 0.0000 0.3793 0.7500 (multiplicity 6)  9 Mg 2.68-2.93

(6)
Entry from Alexandria: a crystal of MgAu3 relaxed with PBEsol (meta-GGA SCAN).

## Properties
**Crystal system**: cubic
**Energy of formation**: -395 meV per atom
**Density**: 14.55 g cm⁻³
**E_tot**: -53.51 eV per atom
**DOS(E_F)**: 2.51 states/eV/cell

Cell: 5.1976 5.1976 5.1976 Å, 90.00 90.00 90.00°
Last column: nearest neighbours and their distance in Å.
Space group Pm-3n (No. 223)
Asymmetric unit:
Mg 0.0000 0.0000 0.0000 (multiplicity 2)  12 Au 2.91
Au 0.0000 0.2500 0.5000 (multiplicity 6)  2 Au 2.60, 4 Mg 2.91